A geometry-optimized Pm8Ga2Pd structure, computed with PBE.

a = 18.8350 Å, b = 5.0568 Å, c = 6.8259 Å
α = 90.00°, β = 101.86°, γ = 90.00°
Space group C2/m (No. 12)
One atom of each set of equivalent atoms:
Pm: 0.0231 0.0000 0.2744 (multiplicity 4)
Pm: 0.0926 0.5000 0.9637 (multiplicity 4)
Pm: 0.1552 0.5000 0.4785 (multiplicity 4)
Pm: 0.2086 0.0000 0.8147 (multiplicity 4)
Ga: 0.1877 0.0000 0.2544 (multiplicity 4)
Pd: 0.0000 0.5000 0.5000 (multiplicity 2)

magnetization	0.00	μB/f.u.
formation energy from the elements	-334	meV/atom
N(E_F)	21.80	states/eV/cell
calculated density	7.34	g/cm³